Below is a relaxed structure of Hg3Au, with properties calculated at the PBE level.

abc: 5.487 5.487 5.487
angles: 90.00 90.00 90.00
Positions (direct):
Hg 0.000 0.000 0.500
Hg 0.000 0.500 0.000
Hg 0.500 0.000 0.000
Au 0.000 0.000 0.000

Calculated values
calculated formation energy	0.08	eV/f.u.
size of the total moment	0.00	μB/f.u.
crystal system	cubic
calculated volume	165	Å³/cell
electronic total energy	-1.02	eV/atom
offset from the most stable computed form	0	meV/atom